Entry 1:
## ScSb2Pb (PBE)

Data for a relaxed structure of ScSb2Pb.

a = 5.5269 Å, b = 5.5269 Å, c = 5.5269 Å
α = 125.61°, β = 125.61°, γ = 80.52°
Last column: nearest neighbours and their distance in Å.
Element x y z (fractional)
Pb  0.7500  0.2500  0.5000  8 Sb 3.29, 4 Sc 3.57
Sb  0.5000  0.5000  0.0000  4 Pb 3.29, 4 Sc 3.29, 4 Sb 3.57
Sb  0.0000  0.0000  0.0000  4 Sc 3.29, 4 Pb 3.29, 4 Sb 3.57
Sc  0.2500  0.7500  0.5000  8 Sb 3.29, 4 Pb 3.57

Summary:
Size of the total moment: 0.000 μB per cell
Raw formation energy: -4.19 kcal/mol of atoms
Volume: 108 Å³ per cell

***

Entry 2:
## Ac2Ge3Ir2 (PBE)

Data for a relaxed structure of Ac2Ge3Ir2.

a = 4.2050 Å, b = 6.0247 Å, c = 7.4993 Å
α = 117.14°, β = 90.00°, γ = 110.42°
Last column: nearest neighbours and their distance in Å.
Element x y z (fractional)
Ge  0.6417  0.2834  0.4338  3 Ir 2.59-2.63, 1 Ge 2.84
Ge  0.3583  0.7166  0.5662  3 Ir 2.59-2.63, 1 Ge 2.84
Ge  0.5000  0.0000  0.0000  4 Ir 2.65, 2 Ge 2.84
Ac  0.1395  0.2789  0.7694  4 Ir 3.15-3.39, 5 Ge 3.29-3.48
Ac  0.8605  0.7211  0.2306  4 Ir 3.15-3.39, 5 Ge 3.29-3.48
Ir  0.8640  0.7279  0.7807  5 Ge 2.59-2.65
Ir  0.1360  0.2721  0.2193  5 Ge 2.59-2.65

Summary:
Size of the total moment: 0.000 μB per cell
Energy relative to the lowest polymorph listed for this composition: 0.00 eV/f.u.
Volume: 156 Å³ per cell
Calculated formation energy: -4.093 eV/f.u.

***

Entry 3:
## AcBRu3 (PBE)

Data for a relaxed structure of AcBRu3.

a = 4.3296 Å, b = 4.3296 Å, c = 4.3296 Å
α = 90.00°, β = 90.00°, γ = 90.00°
Last column: nearest neighbours and their distance in Å.
Element x y z (fractional)
Ac  0.5000  0.5000  0.5000  12 Ru 3.06
Ru  0.0000  0.5000  0.0000  2 B 2.16
Ru  0.5000  0.0000  0.0000  2 B 2.16
Ru  0.0000  0.0000  0.5000  2 B 2.16
B  0.0000  0.0000  0.0000  6 Ru 2.16

Summary:
Size of the total moment: 0.000 μB per cell
Volume: 81 Å³ per cell
Calculated formation energy: -0.273 eV/f.u.

***

Entry 4:
## La12Ho2Tm5 (PBE)

Data for a relaxed structure of La12Ho2Tm5.

a = 10.8788 Å, b = 9.2371 Å, c = 8.3021 Å
α = 85.41°, β = 90.00°, γ = 126.08°
Last column: nearest neighbours and their distance in Å.
Element x y z (fractional)
La  0.6033  0.6418  0.7917  1 Ho 3.39, 2 Tm 3.46-3.59, 4 La 3.49-3.65
La  0.0385  0.6418  0.7917  1 Ho 3.39, 2 Tm 3.46-3.59, 4 La 3.49-3.65
La  0.5608  0.1215  0.2818  3 Tm 3.41-3.66, 2 Ho 3.54, 4 La 3.57-3.60
La  0.1260  0.2521  0.8972  2 Tm 3.51-3.86, 2 Ho 3.62, 4 La 3.65-3.77
La  0.9615  0.3582  0.2083  1 Ho 3.39, 2 Tm 3.46-3.59, 4 La 3.49-3.65
La  0.6217  0.7831  0.3837  1 Ho 3.43, 4 Tm 3.47-3.59, 4 La 3.49-3.77
La  0.1614  0.7831  0.3837  1 Ho 3.43, 4 Tm 3.47-3.59, 4 La 3.49-3.77
La  0.3967  0.3582  0.2083  1 Ho 3.39, 2 Tm 3.46-3.59, 4 La 3.49-3.65
La  0.8740  0.7479  0.1028  2 Tm 3.51-3.86, 2 Ho 3.62, 4 La 3.65-3.77
La  0.8386  0.2169  0.6163  1 Ho 3.43, 4 Tm 3.47-3.59, 4 La 3.49-3.77
La  0.3783  0.2169  0.6163  1 Ho 3.43, 4 Tm 3.47-3.59, 4 La 3.49-3.77
La  0.4392  0.8785  0.7182  3 Tm 3.41-3.66, 2 Ho 3.54, 4 La 3.57-3.60
Tm  0.2385  0.4770  0.5057  8 La 3.47-3.62, 2 Tm 3.51-3.57
Tm  0.7615  0.5230  0.4943  8 La 3.47-3.62, 2 Tm 3.51-3.57
Tm  0.6553  0.3107  0.8904  2 Ho 3.41, 6 La 3.41-3.66, 1 Tm 3.51
Tm  0.0000  0.0000  0.5000  6 La 3.53-3.96, 2 Tm 3.57
Tm  0.3447  0.6893  0.1096  2 Ho 3.41, 6 La 3.41-3.66, 1 Tm 3.51
Ho  0.7216  0.0000  0.0000  8 La 3.39-3.62, 2 Tm 3.41
Ho  0.2784  0.0000  0.0000  8 La 3.39-3.62, 2 Tm 3.41

Summary:
Size of the total moment: 0.000 μB per cell
Volume: 671 Å³ per cell
Calculated formation energy: 2.428 eV/f.u.

***

Entry 5:
## Pm8PdRh5 (PBE)

Data for a relaxed structure of Pm8PdRh5.

a = 7.6548 Å, b = 7.6548 Å, c = 7.6548 Å
α = 109.32°, β = 109.77°, γ = 109.32°
Last column: nearest neighbours and their distance in Å.
Element x y z (fractional)
Rh  0.8761  0.8794  0.2522  4 Pm 2.83-2.86
Rh  0.3728  0.1206  0.9967  4 Pm 2.83-2.86
Rh  0.5000  0.0000  0.5000  4 Pm 2.84
Rh  0.7478  0.6240  0.6272  4 Pm 2.83-2.86
Rh  0.0033  0.3760  0.1239  4 Pm 2.83-2.86
Pm  0.1242  0.7512  0.4915  3 Rh 2.83-2.86
Pm  0.5085  0.6327  0.2597  3 Rh 2.83-2.86
Pm  0.2451  0.2475  0.3687  2 Rh 2.83-2.84, 1 Pd 2.90
Pm  0.1212  0.7525  0.9977  2 Rh 2.83-2.84, 1 Pd 2.90
Pm  0.7403  0.2488  0.3730  3 Rh 2.83-2.86
Pm  0.0023  0.1235  0.7549  2 Rh 2.83-2.84, 1 Pd 2.90
Pm  0.6313  0.8765  0.8788  2 Rh 2.83-2.84, 1 Pd 2.90
Pm  0.6270  0.3673  0.8758  3 Rh 2.83-2.86
Pd  0.2500  0.5000  0.7500  4 Pm 2.90

Summary:
Size of the total moment: 0.000 μB per cell
Volume: 345 Å³ per cell
Calculated formation energy: -9.412 eV/f.u.

***

Entry 6:
## Dy4SbRh2 (PBE)

Data for a relaxed structure of Dy4SbRh2.

a = 7.2269 Å, b = 7.2255 Å, c = 8.1773 Å
α = 108.77°, β = 108.77°, γ = 105.78°
Last column: nearest neighbours and their distance in Å.
Element x y z (fractional)
Dy  0.9656  0.5863  0.7155  3 Rh 2.71-2.97
Dy  0.3892  0.1642  0.4054  3 Rh 2.75-3.07
Dy  0.8364  0.7155  0.2149  3 Rh 2.71-2.97
Dy  0.7584  0.9833  0.5939  3 Rh 2.75-3.07
Dy  0.5001  0.6210  0.7846  3 Rh 2.71-2.97
Dy  0.2340  0.5089  0.0949  3 Rh 2.75-3.07
Dy  0.8714  0.2505  0.2850  3 Rh 2.71-2.97
Dy  0.4143  0.1394  0.9059  3 Rh 2.75-3.07
Rh  0.1411  0.2579  0.6411  5 Dy 2.71-2.97
Rh  0.7500  0.3665  0.8588  5 Dy 2.71-2.97
Rh  0.6172  0.4998  0.3586  5 Dy 2.71-2.97
Rh  0.5082  0.8914  0.1414  5 Dy 2.71-2.97
Sb  0.2570  0.7576  0.5002  8 Dy 3.04-3.38
Sb  0.0070  0.0075  0.9998  8 Dy 3.04-3.38

Summary:
Size of the total moment: 0.000 μB per cell
Raw formation energy: -17.18 kcal/mol of atoms
Volume: 348 Å³ per cell

***

Entry 7:
## GePRuO2 (PBE)

Data for a relaxed structure of GePRuO2.

a = 3.7824 Å, b = 3.7824 Å, c = 5.1598 Å
α = 90.00°, β = 90.00°, γ = 90.00°
Last column: nearest neighbours and their distance in Å.
Element x y z (fractional)
O  0.5000  0.0000  0.0000  2 Ru 1.89
O  0.0000  0.5000  0.0000  2 Ru 1.89
Ge  0.5000  0.5000  0.5000  4 P 2.67
Ru  0.0000  0.0000  0.0000  4 O 1.89
P  0.0000  0.0000  0.5000  2 Ru 2.58, 4 Ge 2.67

Summary:
Size of the total moment: 0.632 μB per cell
Energy relative to the lowest polymorph listed for this composition: 0.00 eV/f.u.
Raw formation energy: -5.72 kcal/mol of atoms
Volume: 74 Å³ per cell

***

Entry 8:
## Na3LiTl2 (PBE)

Data for a relaxed structure of Na3LiTl2.

a = 5.9280 Å, b = 5.9280 Å, c = 11.1286 Å
α = 105.59°, β = 105.59°, γ = 109.79°
Last column: nearest neighbours and their distance in Å.
Element x y z (fractional)
Tl  0.2139  0.9816  0.9308  2 Li 2.98-3.22, 1 Tl 3.23, 3 Na 3.29-3.34
Tl  0.5184  0.2861  0.5692  2 Li 2.98-3.22, 1 Tl 3.23, 3 Na 3.29-3.34
Tl  0.7861  0.0184  0.0692  2 Li 2.98-3.22, 1 Tl 3.23, 3 Na 3.29-3.34
Tl  0.4816  0.7139  0.4308  2 Li 2.98-3.22, 1 Tl 3.23, 3 Na 3.29-3.34
Li  0.6689  0.8311  0.7500  4 Tl 2.98-3.22
Li  0.3311  0.1689  0.2500  4 Tl 2.98-3.22
Na  0.1170  0.3830  0.7500  6 Na 3.29-3.48, 4 Tl 3.34-3.59, 2 Li 3.45
Na  0.3074  0.5859  0.1004  4 Na 3.29-3.48, 5 Tl 3.29-3.57, 2 Li 3.35
Na  0.8830  0.6170  0.2500  6 Na 3.29-3.48, 4 Tl 3.34-3.59, 2 Li 3.45
Na  0.0859  0.8074  0.6004  4 Na 3.29-3.48, 5 Tl 3.29-3.57, 2 Li 3.35
Na  0.6926  0.4141  0.8996  4 Na 3.29-3.48, 5 Tl 3.29-3.57, 2 Li 3.35
Na  0.9141  0.1926  0.3996  4 Na 3.29-3.48, 5 Tl 3.29-3.57, 2 Li 3.35

Summary:
Size of the total moment: 0.000 μB per cell
Energy relative to the lowest polymorph listed for this composition: 0.00 eV/f.u.
Volume: 325 Å³ per cell
Calculated formation energy: -0.582 eV/f.u.

***

Entry 9:
## SrMnSi2B (PBE)

Data for a relaxed structure of SrMnSi2B.

a = 4.3999 Å, b = 4.1411 Å, c = 4.3999 Å
α = 90.00°, β = 90.00°, γ = 90.00°
Last column: nearest neighbours and their distance in Å.
Element x y z (fractional)
B  0.0000  0.0000  0.0000  2 Mn 2.07, 4 Si 2.20
Sr  0.5000  0.5000  0.5000  8 Si 3.02, 4 Mn 3.11
Mn  0.0000  0.5000  0.0000  2 B 2.07
Si  0.5000  0.0000  0.0000  2 B 2.20
Si  0.0000  0.0000  0.5000  2 B 2.20

Summary:
Size of the total moment: 0.067 μB per cell
Raw formation energy: 13.33 kcal/mol of atoms
Volume: 80 Å³ per cell

***

Entry 10:
## NbGaB2 (PBE)

Data for a relaxed structure of NbGaB2.

a = 5.8474 Å, b = 5.8474 Å, c = 5.0578 Å
α = 54.69°, β = 54.69°, γ = 90.00°
Last column: nearest neighbours and their distance in Å.
Element x y z (fractional)
B  0.8750  0.8516  0.7500  2 Ga 2.10, 2 Nb 2.29
B  0.1484  0.6250  0.2500  2 Ga 2.10, 2 Nb 2.29
B  0.3750  0.3984  0.7500  2 Ga 2.10, 2 Nb 2.29
B  0.6016  0.1250  0.2500  2 Ga 2.10, 2 Nb 2.29
Nb  0.7500  0.2500  0.5000  4 B 2.29
Nb  0.0000  0.0000  0.0000  4 B 2.29
Ga  0.5000  0.5000  0.0000  4 B 2.10
Ga  0.2500  0.7500  0.5000  4 B 2.10

Summary:
Size of the total moment: 0.000 μB per cell
Volume: 100 Å³ per cell
Calculated formation energy: 1.937 eV/f.u.

***

Entry 11:
## RbPd2Pt2 (PBE)

Data for a relaxed structure of RbPd2Pt2.

a = 8.2680 Å, b = 8.2680 Å, c = 2.7811 Å
α = 90.00°, β = 90.00°, γ = 90.00°
Last column: nearest neighbours and their distance in Å.
Element x y z (fractional)
Pt  0.8293  0.3293  0.5000  6 Pd 2.76-2.84, 2 Pt 2.78
Pt  0.6707  0.8293  0.5000  6 Pd 2.76-2.84, 2 Pt 2.78
Pt  0.3293  0.1707  0.5000  6 Pd 2.76-2.84, 2 Pt 2.78
Pt  0.1707  0.6707  0.5000  6 Pd 2.76-2.84, 2 Pt 2.78
Pd  0.6255  0.1255  0.0000  6 Pt 2.76-2.84, 3 Pd 2.78-2.93
Pd  0.3745  0.8745  0.0000  6 Pt 2.76-2.84, 3 Pd 2.78-2.93
Pd  0.8745  0.6255  0.0000  6 Pt 2.76-2.84, 3 Pd 2.78-2.93
Pd  0.1255  0.3745  0.0000  6 Pt 2.76-2.84, 3 Pd 2.78-2.93
Rb  0.5000  0.5000  0.0000  2 Rb 2.78
Rb  0.0000  0.0000  0.0000  2 Rb 2.78

Summary:
Size of the total moment: 0.000 μB per cell
Energy relative to the lowest polymorph listed for this composition: 0.11 eV/f.u.
Volume: 190 Å³ per cell
Calculated formation energy: 0.629 eV/f.u.

***

Entry 12:
## HfW2 (PBE)

Data for a relaxed structure of HfW2.

a = 3.2416 Å, b = 3.2416 Å, c = 5.5431 Å
α = 107.00°, β = 107.00°, γ = 90.00°
Last column: nearest neighbours and their distance in Å.
Element x y z (fractional)
W  0.3214  0.3214  0.6429  4 W 2.71, 4 Hf 2.92
W  0.6786  0.6786  0.3571  4 W 2.71, 4 Hf 2.92
Hf  0.0000  0.0000  0.0000  10 W 2.92-3.24, 4 Hf 3.24

Summary:
Size of the total moment: 0.000 μB per cell
Volume: 53 Å³ per cell
Calculated formation energy: -0.034 eV/f.u.